(1)
First-principles (PBE) data for a relaxed Al2HgIr crystal, as listed in Alexandria via LeMat-Bulk.

a b c (Å): 4.994 4.994 4.994
angles (deg): 133.54 133.54 67.80
Sites, in units of the cell vectors:
Al  0.250  0.750  0.500
Al  0.000  0.000  0.000
Hg  0.500  0.500  0.000
Ir  0.750  0.250  0.500

Results
**Size of the total moment**: 0.0000 μB/atom
**Density**: 11.54 Mg/m³
**ΔE_f**: -135.5 meV per atom
**Space-group type**: I-4m2, No. 119


(2)
First-principles (PBE) data for a relaxed AlHg2Ir crystal, as listed in Alexandria via LeMat-Bulk.

a b c (Å): 4.758 5.774 3.170
angles (deg): 72.31 94.08 115.57
Sites, in units of the cell vectors:
Hg  0.000  0.000  0.000
Hg  0.500  0.000  0.500
Ir  0.000  0.500  0.500
Al  0.500  0.500  0.000

Results
**Size of the total moment**: 0.0000 μB/atom
**Density**: 13.80 Mg/m³
**ΔE_f**: 213.2 meV per atom
**Space-group type**: C2/m, No. 12


(3)
First-principles (PBE) data for a relaxed AlHgIr2 crystal, as listed in Alexandria via LeMat-Bulk.

a b c (Å): 2.869 2.869 7.962
angles (deg): 90.00 90.00 90.00
Each line ends with the local moment (μB).
Sites, in units of the cell vectors:
Al  0.000  0.000  0.459  0.00
Ir  0.000  0.000  0.026  0.23
Ir  0.500  0.500  0.261  0.12
Hg  0.500  0.500  0.754  0.00

Results
**Size of the total moment**: 0.0925 μB/atom
**Density**: 15.50 Mg/m³
**ΔE_f**: 82.4 meV per atom
**Relative energy among the computed polymorphs**: 279 meV/atom
**Space-group type**: P4mm, No. 99


(4)
First-principles (PBE) data for a relaxed AlHg2Ir crystal, as listed in Alexandria via LeMat-Bulk.

a b c (Å): 5.172 3.043 4.732
angles (deg): 91.97 90.00 90.00
Sites, in units of the cell vectors:
Ir  0.500  0.250  0.250
Hg  0.000  0.502  0.499
Hg  0.000  0.998  0.001
Al  0.500  0.750  0.750

Results
**Size of the total moment**: 0.0000 μB/atom
**Density**: 13.84 Mg/m³
**ΔE_f**: 236.9 meV per atom
**Space-group type**: P2/m, No. 10


(5)
First-principles (PBE) data for a relaxed Al2HgIr crystal, as listed in Alexandria via LeMat-Bulk.

a b c (Å): 2.889 2.889 9.750
angles (deg): 90.00 90.00 119.28
Sites, in units of the cell vectors:
Al  0.500  0.500  0.225
Al  0.000  0.000  0.981
Ir  0.500  0.500  0.781
Hg  0.000  0.000  0.512

Results
**Size of the total moment**: 0.0000 μB/atom
**Density**: 10.45 Mg/m³
**ΔE_f**: 96.8 meV per atom
**Space-group type**: Cmm2, No. 35


(6)
First-principles (PBE) data for a relaxed AlHgIr crystal, as listed in Alexandria via LeMat-Bulk.

a b c (Å): 2.994 2.994 6.627
angles (deg): 90.00 90.00 120.00
Sites, in units of the cell vectors:
Al  0.000  0.000  0.970
Ir  0.333  0.667  0.698
Hg  0.667  0.333  0.331

Results
**Size of the total moment**: 0.0000 μB/atom
**Density**: 13.55 Mg/m³
**ΔE_f**: -7.3 meV per atom
**Relative energy among the computed polymorphs**: 158 meV/atom
**Space-group type**: P3m1, No. 156


(7)
First-principles (PBE) data for a relaxed Al2HgIr crystal, as listed in Alexandria via LeMat-Bulk.

a b c (Å): 2.948 2.945 7.836
angles (deg): 90.00 90.00 90.00
Sites, in units of the cell vectors:
Al  0.000  0.000  0.548
Al  0.000  0.000  0.952
Hg  0.500  0.500  0.250
Ir  0.500  0.500  0.750

Results
**Size of the total moment**: 0.0000 μB/atom
**Density**: 10.91 Mg/m³
**ΔE_f**: -308.5 meV per atom
**Space-group type**: P4/mmm, No. 123


(8)
First-principles (PBE) data for a relaxed Al2HgIr crystal, as listed in Alexandria via LeMat-Bulk.

a b c (Å): 4.562 4.562 5.217
angles (deg): 80.49 80.49 38.93
Sites, in units of the cell vectors:
Al  0.515  0.515  0.458
Al  0.985  0.985  0.042
Hg  0.750  0.750  0.750
Ir  0.250  0.250  0.250

Results
**Size of the total moment**: 0.0000 μB/atom
**Density**: 11.04 Mg/m³
**ΔE_f**: -143.7 meV per atom
**Space-group type**: C2/m, No. 12


(9)
First-principles (PBE) data for a relaxed AlHg2Ir crystal, as listed in Alexandria via LeMat-Bulk.

a b c (Å): 3.005 3.005 8.362
angles (deg): 90.00 90.00 90.00
Sites, in units of the cell vectors:
Hg  0.000  0.000  0.014
Hg  0.000  0.000  0.486
Al  0.500  0.500  0.750
Ir  0.500  0.500  0.250

Results
**Size of the total moment**: 0.0000 μB/atom
**Density**: 13.65 Mg/m³
**ΔE_f**: 460.2 meV per atom
**Space-group type**: P4/mmm, No. 123


(10)
First-principles (PBE) data for a relaxed AlHg2Ir crystal, as listed in Alexandria via LeMat-Bulk.

a b c (Å): 4.958 4.958 3.210
angles (deg): 90.00 90.00 112.01
Sites, in units of the cell vectors:
Ir  0.500  0.000  0.500
Hg  0.500  0.500  0.000
Hg  0.000  0.000  0.000
Al  0.000  0.500  0.500

Results
**Size of the total moment**: 0.0000 μB/atom
**Density**: 14.09 Mg/m³
**ΔE_f**: 313.4 meV per atom
**Space-group type**: Cmmm, No. 65


(11)
First-principles (PBE) data for a relaxed AlHg2Ir crystal, as listed in Alexandria via LeMat-Bulk.

a b c (Å): 5.344 5.344 5.344
angles (deg): 138.62 132.03 65.17
Sites, in units of the cell vectors:
Ir  0.463  0.463  0.000
Al  0.285  0.785  0.500
Hg  0.737  0.237  0.500
Hg  0.016  0.016  0.000

Results
**Size of the total moment**: 0.0000 μB/atom
**Density**: 13.95 Mg/m³
**ΔE_f**: 141.9 meV per atom
**Space-group type**: Imm2, No. 44


(12)
First-principles (PBE) data for a relaxed AlHgIr2 crystal, as listed in Alexandria via LeMat-Bulk.

a b c (Å): 2.821 3.815 6.055
angles (deg): 90.00 90.00 90.00
Sites, in units of the cell vectors:
Hg  0.500  0.500  0.758
Ir  0.000  0.000  0.021
Ir  0.500  0.500  0.276
Al  0.000  0.000  0.444

Results
**Size of the total moment**: 0.0000 μB/atom
**Density**: 15.59 Mg/m³
**ΔE_f**: 39.8 meV per atom
**Relative energy among the computed polymorphs**: 236 meV/atom
**Space-group type**: Pmm2, No. 25


(13)
First-principles (PBE) data for a relaxed Al2HgIr crystal, as listed in Alexandria via LeMat-Bulk.

a b c (Å): 4.613 3.078 4.662
angles (deg): 89.99 90.00 90.00
Sites, in units of the cell vectors:
Hg  0.000  0.375  0.507
Al  0.500  0.375  0.211
Al  0.000  0.875  0.009
Ir  0.500  0.875  0.773

Results
**Size of the total moment**: 0.0000 μB/atom
**Density**: 11.21 Mg/m³
**ΔE_f**: -189.3 meV per atom
**Space-group type**: Pmm2, No. 25


(14)
First-principles (PBE) data for a relaxed Al2HgIr crystal, as listed in Alexandria via LeMat-Bulk.

a b c (Å): 6.849 6.849 6.849
angles (deg): 156.01 145.07 42.82
Sites, in units of the cell vectors:
Al  0.068  0.068  0.000
Al  0.756  0.256  0.500
Hg  0.445  0.445  0.000
Ir  0.231  0.731  0.500

Results
**Size of the total moment**: 0.0000 μB/atom
**Density**: 9.94 Mg/m³
**ΔE_f**: -313.9 meV per atom
**Space-group type**: Imm2, No. 44


(15)
First-principles (PBE) data for a relaxed AlHgIr2 crystal, as listed in Alexandria via LeMat-Bulk.

a b c (Å): 4.952 4.952 4.952
angles (deg): 132.97 132.97 68.70
Sites, in units of the cell vectors:
Al  0.500  0.500  0.000
Ir  0.000  0.000  0.000
Ir  0.250  0.750  0.500
Hg  0.750  0.250  0.500

Results
**Size of the total moment**: 0.0002 μB/atom
**Density**: 15.92 Mg/m³
**ΔE_f**: 159.0 meV per atom
**Relative energy among the computed polymorphs**: 355 meV/atom
**Space-group type**: I-4m2, No. 119


(16)
First-principles (PBE) data for a relaxed AlHgIr2 crystal, as listed in Alexandria via LeMat-Bulk.

a b c (Å): 4.029 2.933 5.687
angles (deg): 72.86 90.00 90.00
Sites, in units of the cell vectors:
Hg  0.500  0.750  0.750
Al  0.500  0.250  0.250
Ir  0.000  0.404  0.471
Ir  0.000  0.096  0.029

Results
**Size of the total moment**: 0.0000 μB/atom
**Density**: 15.82 Mg/m³
**ΔE_f**: -46.0 meV per atom
**Relative energy among the computed polymorphs**: 150 meV/atom
**Space-group type**: P2/m, No. 10


(17)
First-principles (PBE) data for a relaxed AlHg2Ir crystal, as listed in Alexandria via LeMat-Bulk.

a b c (Å): 10.429 10.429 7.743
angles (deg): 47.66 47.66 90.00
Sites, in units of the cell vectors:
Al  0.500  0.500  0.000
Al  0.250  0.750  0.500
Hg  0.875  0.625  0.250
Hg  0.875  0.125  0.250
Hg  0.375  0.125  0.750
Hg  0.875  0.125  0.750
Ir  0.000  0.000  0.000
Ir  0.750  0.250  0.500

Results
**Size of the total moment**: 0.0000 μB/atom
**Density**: 8.03 Mg/m³
**ΔE_f**: 170.7 meV per atom
**Space-group type**: I4_1/amd, No. 141


(18)
First-principles (PBE) data for a relaxed AlHgIr2 crystal, as listed in Alexandria via LeMat-Bulk.

a b c (Å): 4.475 4.475 4.475
angles (deg): 60.00 60.00 60.00
Sites, in units of the cell vectors:
Al  0.000  0.000  0.000
Hg  0.500  0.500  0.500
Ir  0.250  0.250  0.250
Ir  0.750  0.750  0.750

Results
**Size of the total moment**: 0.0000 μB/atom
**Density**: 16.04 Mg/m³
**ΔE_f**: 0.7 meV per atom
**Relative energy among the computed polymorphs**: 197 meV/atom
**Space-group type**: Fm-3m, No. 225


(19)
First-principles (PBE) data for a relaxed Al2HgIr crystal, as listed in Alexandria via LeMat-Bulk.

a b c (Å): 3.064 5.055 5.371
angles (deg): 52.15 90.00 90.00
Sites, in units of the cell vectors:
Al  0.000  0.000  0.000
Al  0.500  0.500  0.000
Hg  0.500  0.500  0.500
Ir  0.000  0.000  0.500

Results
**Size of the total moment**: 0.0000 μB/atom
**Density**: 11.29 Mg/m³
**ΔE_f**: -65.8 meV per atom
**Space-group type**: P2/m, No. 10


(20)
First-principles (PBE) data for a relaxed Al2HgIr crystal, as listed in Alexandria via LeMat-Bulk.

a b c (Å): 4.862 4.862 4.679
angles (deg): 80.29 80.29 37.02
Sites, in units of the cell vectors:
Al  0.993  0.993  0.044
Al  0.744  0.744  0.744
Ir  0.263  0.263  0.182
Hg  0.500  0.500  0.530

Results
**Size of the total moment**: 0.0000 μB/atom
**Density**: 11.32 Mg/m³
**ΔE_f**: -191.5 meV per atom
**Space-group type**: Cm, No. 8


(21)
First-principles (PBE) data for a relaxed AlHgIr2 crystal, as listed in Alexandria via LeMat-Bulk.

a b c (Å): 2.838 2.838 9.164
angles (deg): 90.00 90.00 118.18
Sites, in units of the cell vectors:
Al  0.500  0.500  0.250
Ir  0.000  0.000  0.035
Ir  0.000  0.000  0.465
Hg  0.500  0.500  0.750

Results
**Size of the total moment**: 0.0000 μB/atom
**Density**: 15.62 Mg/m³
**ΔE_f**: -68.2 meV per atom
**Relative energy among the computed polymorphs**: 128 meV/atom
**Space-group type**: Cmmm, No. 65


(22)
First-principles (PBE) data for a relaxed Al2HgIr crystal, as listed in Alexandria via LeMat-Bulk.

a b c (Å): 2.960 2.960 7.952
angles (deg): 90.00 90.00 90.00
Sites, in units of the cell vectors:
Al  0.000  0.000  0.968
Al  0.500  0.500  0.222
Hg  0.000  0.000  0.518
Ir  0.500  0.500  0.793

Results
**Size of the total moment**: 0.0000 μB/atom
**Density**: 10.65 Mg/m³
**ΔE_f**: -72.6 meV per atom
**Space-group type**: P4mm, No. 99


(23)
First-principles (PBE) data for a relaxed AlHgIr2 crystal, as listed in Alexandria via LeMat-Bulk.

a b c (Å): 2.910 4.926 4.522
angles (deg): 90.00 90.00 90.00
Sites, in units of the cell vectors:
Al  0.500  0.000  0.500
Ir  0.500  0.500  0.000
Ir  0.000  0.000  0.000
Hg  0.000  0.500  0.500

Results
**Size of the total moment**: 0.0000 μB/atom
**Density**: 15.68 Mg/m³
**ΔE_f**: 148.6 meV per atom
**Relative energy among the computed polymorphs**: 345 meV/atom
**Space-group type**: Pmmm, No. 47


(24)
First-principles (PBE) data for a relaxed AlHgIr2 crystal, as listed in Alexandria via LeMat-Bulk.

a b c (Å): 4.506 4.506 4.506
angles (deg): 60.00 60.00 60.00
Each line ends with the local moment (μB).
Sites, in units of the cell vectors:
Hg  0.750  0.750  0.750  0.00
Ir  0.000  0.000  0.000  0.09
Ir  0.250  0.250  0.250  0.08
Al  0.500  0.500  0.500  0.00

Results
**Size of the total moment**: 0.0432 μB/atom
**Density**: 15.71 Mg/m³
**ΔE_f**: 269.7 meV per atom
**Relative energy among the computed polymorphs**: 466 meV/atom
**Space-group type**: F-43m, No. 216


(25)
First-principles (PBE) data for a relaxed AlHg2Ir crystal, as listed in Alexandria via LeMat-Bulk.

a b c (Å): 9.218 9.218 9.218
angles (deg): 19.22 19.22 19.22
Each line ends with the local moment (μB).
Sites, in units of the cell vectors:
Hg  0.501  0.501  0.501  0.00
Hg  0.999  0.999  0.999  0.00
Ir  0.250  0.250  0.250  0.10
Al  0.750  0.750  0.750  0.00

Results
**Size of the total moment**: 0.0241 μB/atom
**Density**: 13.88 Mg/m³
**ΔE_f**: 386.7 meV per atom
**Space-group type**: R-3m, No. 166


(26)
First-principles (PBE) data for a relaxed AlHgIr2 crystal, as listed in Alexandria via LeMat-Bulk.

a b c (Å): 3.017 3.017 6.907
angles (deg): 90.00 90.00 90.00
Sites, in units of the cell vectors:
Hg  0.500  0.500  0.750
Ir  0.000  0.000  0.040
Ir  0.000  0.000  0.460
Al  0.500  0.500  0.250

Results
**Size of the total moment**: 0.0000 μB/atom
**Density**: 16.17 Mg/m³
**ΔE_f**: -196.4 meV per atom
**Relative energy among the computed polymorphs**: 0 meV/atom
**Space-group type**: P4/mmm, No. 123


(27)
First-principles (PBE) data for a relaxed AlHgIr2 crystal, as listed in Alexandria via LeMat-Bulk.

a b c (Å): 9.343 9.343 9.343
angles (deg): 17.57 17.57 17.57
Sites, in units of the cell vectors:
Ir  0.013  0.013  0.013
Ir  0.487  0.487  0.487
Al  0.750  0.750  0.750
Hg  0.250  0.250  0.250

Results
**Size of the total moment**: 0.0018 μB/atom
**Density**: 15.66 Mg/m³
**ΔE_f**: -131.2 meV per atom
**Relative energy among the computed polymorphs**: 65 meV/atom
**Space-group type**: R-3m, No. 166


(28)
First-principles (PBE) data for a relaxed Al2HgIr crystal, as listed in Alexandria via LeMat-Bulk.

a b c (Å): 4.115 4.115 9.156
angles (deg): 77.01 77.01 90.00
Sites, in units of the cell vectors:
Al  0.591  0.125  0.250
Al  0.875  0.841  0.750
Al  0.375  0.409  0.750
Al  0.159  0.625  0.250
Ir  0.250  0.750  0.500
Ir  0.500  0.500  0.000
Hg  0.000  0.000  0.000
Hg  0.750  0.250  0.500

Results
**Size of the total moment**: 0.0000 μB/atom
**Density**: 10.09 Mg/m³
**ΔE_f**: 105.2 meV per atom
**Space-group type**: I-42d, No. 122


(29)
First-principles (PBE) data for a relaxed Al2Hg2Ir crystal, as listed in Alexandria via LeMat-Bulk.

a b c (Å): 7.290 7.290 3.489
angles (deg): 90.00 90.00 90.00
Sites, in units of the cell vectors:
Al  0.329  0.171  0.500
Al  0.829  0.329  0.500
Al  0.171  0.671  0.500
Al  0.671  0.829  0.500
Hg  0.139  0.361  0.000
Hg  0.639  0.139  0.000
Hg  0.861  0.639  0.000
Hg  0.361  0.861  0.000
Ir  0.500  0.500  0.000
Ir  0.000  0.000  0.000

Results
**Size of the total moment**: 0.0000 μB/atom
**Density**: 11.60 Mg/m³
**ΔE_f**: 450.1 meV per atom
**Relative energy among the computed polymorphs**: 0 meV/atom
**Space-group type**: P4/mbm, No. 127


(30)
First-principles (PBE) data for a relaxed AlHgIr2 crystal, as listed in Alexandria via LeMat-Bulk.

a b c (Å): 2.873 2.873 9.386
angles (deg): 90.00 90.00 121.15
Sites, in units of the cell vectors:
Al  0.000  0.000  0.477
Ir  0.000  0.000  0.015
Ir  0.500  0.500  0.259
Hg  0.500  0.500  0.749

Results
**Size of the total moment**: 0.0000 μB/atom
**Density**: 15.33 Mg/m³
**ΔE_f**: 265.2 meV per atom
**Relative energy among the computed polymorphs**: 462 meV/atom
**Space-group type**: Cmm2, No. 35